EuYSn | PBE-GGA | relaxed

Calculated values
- DFT total energy (eV per atom) = -7.35
- ΔE_f (eV/atom) = -0.438
- distance to the lowest polymorph of the same formula (kJ per mole of atoms) = 0.0

extended XYZ file:
```
12
Lattice="7.491 0.000 0.000 0.000 7.491 0.000 0.000 0.000 7.491" Properties=species:S:1:pos:R:3 pbc="T T T"
Eu 0.000 0.000 0.000
Eu 0.000 3.745 3.745
Eu 3.745 0.000 3.745
Eu 3.745 3.745 0.000
Y 0.000 0.000 3.745
Y 0.000 3.745 0.000
Y 3.745 0.000 0.000
Y 3.745 3.745 3.745
Sn 1.873 1.873 5.618
Sn 1.873 5.618 1.873
Sn 5.618 1.873 1.873
Sn 5.618 5.618 5.618
```